Y2PPt2 | GGA-PBE | optimized geometry

For the density of states at the Fermi level, the calculation gives 0.54 states/eV per atom. The value obtained for the raw total energy is -7.06 eV per atom. The calculation puts the total magnetic moment at 0.00 μB per atom.

The space group is P4/mbm (No. 127) and the conventional cell measures 7.250, 7.250 and 3.960 Å, with angles of 90.00, 90.00 and 90.00 degrees. Symmetry generates all atoms from Y at (0.174, 0.326, 0.000), P at (0.000, 0.000, 0.500) and Pt at (0.133, 0.633, 0.500).


SrPtS | GGA-PBE | optimized geometry

For the density of states at the Fermi level, the calculation gives 0.07 states/eV per atom. The value obtained for the raw total energy is -5.14 eV per atom. The calculation puts the total magnetic moment at 0.00 μB per atom. For the uncorrected formation energy, the calculation gives -1.189 eV per atom.

The space group is P2_1/m (No. 11) and the conventional cell measures 4.921, 5.652 and 6.136 Å, with angles of 90.00, 109.36 and 90.00 degrees. Symmetry generates all atoms from Sr at (0.107, 0.250, 0.251), Pt at (0.500, 0.000, 0.000) and S at (0.160, 0.250, 0.748).


PmLuCo | GGA-PBE | optimized geometry

For the density of states at the Fermi level, the calculation gives 1.15 states/eV per atom. The value obtained for the raw total energy is -5.49 eV per atom. The calculation puts the total magnetic moment at 0.00 μB per atom.

The space group is F-43m (No. 216) and the conventional cell measures 6.648, 6.648 and 6.648 Å, with angles of 90.00, 90.00 and 90.00 degrees. Symmetry generates all atoms from Pm at (0.000, 0.000, 0.000), Lu at (0.000, 0.000, 0.500) and Co at (0.250, 0.250, 0.750).


Cr2HgPb | GGA-PBE | optimized geometry

For the density of states at the Fermi level, the calculation gives 0.50 states/eV per atom. The value obtained for the raw total energy is -5.00 eV per atom. The calculation puts the total magnetic moment at 2.03 μB per atom.

The space group is I-42d (No. 122) and the conventional cell measures 7.644, 7.644 and 6.252 Å, with angles of 90.00, 90.00 and 90.00 degrees. Symmetry generates all atoms from Cr at (0.242, 0.750, 0.125), Hg at (0.000, 0.000, 0.000) and Pb at (0.000, 0.000, 0.500).